(1)
Below is a geometry-optimized NaSrLi17 structure, with properties calculated at the PBE level.

The final energy comes out at -104.5 eV per cell. The value obtained for the formation energy is 0.037 eV per atom.

It has space group R3m (No. 160, hexagonal axes), with a = 10.1002 Å, b = 10.1002 Å, c = 15.1806 Å, α = 90.00°, β = 90.00° and γ = 120.00°. The distinct sites, in fractional coordinates, are Na at (0.0000, 0.0000, 0.0000), Sr at (0.0000, 0.0000, 0.3199), Li at (0.0000, 0.0000, 0.5682), Li at (0.0000, 0.0000, 0.7573), Li at (0.0043, 0.2930, 0.6601), Li at (0.0178, 0.5089, 0.1562), Li at (0.0217, 0.5108, 0.8098) and Li at (0.0284, 0.5142, 0.5149).

***

(2)
Below is a geometry-optimized Tb2PmZn5 structure, with properties calculated at the PBE level.

The final energy comes out at -45.7 eV per cell. The value obtained for the formation energy is -0.310 eV per atom.

It has space group I4/mmm (No. 139), with a = 4.8776 Å, b = 4.8776 Å, c = 14.2385 Å, α = 90.00°, β = 90.00° and γ = 90.00°. The distinct sites, in fractional coordinates, are Tb at (0.0000, 0.0000, 0.2313), Pm at (0.0000, 0.0000, 0.5000), Zn at (0.0000, 0.0000, 0.0000) and Zn at (0.0000, 0.5000, 0.1175).